# Na2Pt3Se4

Na2Pt3Se4 after structural relaxation (GGA-PBE, the Alexandria database).

E   -4.394 eV per atom
Fermi-level density of states   0.30 states/eV/cell
Total magnetic moment   0.0000 μB per atom
Uncorrected formation energy   -538 meV/atom

```
Na2Pt3Se4
1.0
0.000 5.901 6.012
3.033 0.000 6.012
3.033 5.901 0.000
Na Pt Se
2 3 4
direct
0.137 0.863 0.137
0.863 0.137 0.863
0.000 0.500 0.000
0.500 0.000 0.500
0.500 0.500 0.500
0.207 0.482 0.518
0.482 0.207 0.793
0.518 0.793 0.207
0.793 0.518 0.482
```

***

# AgSe2I

AgSe2I after structural relaxation (GGA-PBE, the Alexandria database).

E   -2.223 eV per atom
Fermi-level density of states   4.18 states/eV/cell
Total magnetic moment   0.0000 μB per atom
Uncorrected formation energy   619 meV/atom

```
AgSe2I
1.0
0.000 3.610 3.610
3.610 0.000 3.610
3.610 3.610 0.000
Ag Se I
1 2 1
direct
0.000 0.000 0.000
0.250 0.250 0.250
0.750 0.750 0.750
0.500 0.500 0.500
```

***

# Th6Al3Os

Th6Al3Os after structural relaxation (GGA-PBE, the Alexandria database).

E   -6.745 eV per atom
Fermi-level density of states   22.33 states/eV/cell
Total magnetic moment   0.0000 μB per atom
E_form   -0.048 eV/atom

```
Th6Al3Os
1.0
5.794 3.345 5.070
-5.794 3.345 5.070
0.000 -6.690 5.070
Th Al Os
12 6 2
direct
0.118 0.777 0.777
0.176 0.475 0.475
0.223 0.223 0.882
0.223 0.882 0.223
0.475 0.176 0.475
0.475 0.475 0.176
0.525 0.525 0.824
0.525 0.824 0.525
0.777 0.118 0.777
0.777 0.777 0.118
0.824 0.525 0.525
0.882 0.223 0.223
0.105 0.105 0.533
0.105 0.533 0.105
0.467 0.895 0.895
0.533 0.105 0.105
0.895 0.467 0.895
0.895 0.895 0.467
0.000 0.000 0.000
0.500 0.500 0.500
```

***

# Pm3Dy2Te5

Pm3Dy2Te5 after structural relaxation (GGA-PBE, the Alexandria database).

E   -5.276 eV per atom
Fermi-level density of states   4.62 states/eV/cell
Total magnetic moment   0.0000 μB per atom
Uncorrected formation energy   -1360 meV/atom

```
Pm3Dy2Te5
1.0
7.348 -2.207 0.000
7.348 2.207 0.000
-5.344 0.000 9.415
Pm Dy Te
3 2 5
direct
0.000 0.000 0.000
0.206 0.206 0.805
0.794 0.794 0.195
0.403 0.403 0.599
0.597 0.597 0.401
0.000 0.000 0.500
0.199 0.199 0.309
0.403 0.403 0.107
0.597 0.597 0.893
0.801 0.801 0.691
```

***

# ScCd2Rh

ScCd2Rh after structural relaxation (GGA-PBE, the Alexandria database).

E   -4.303 eV per atom
Fermi-level density of states   1.56 states/eV/cell
Total magnetic moment   0.0000 μB per atom
E_form   -0.425 eV/atom

```
ScCd2Rh
1.0
3.276 0.000 0.000
0.000 3.300 0.000
-0.029 0.000 7.222
Sc Cd Rh
1 2 1
direct
0.000 0.000 0.000
0.001 0.000 0.432
0.498 0.500 0.708
0.501 0.500 0.187
```

***

# BaCdCo3

BaCdCo3 after structural relaxation (GGA-PBE, the Alexandria database).

E   -3.733 eV per atom
Fermi-level density of states   20.78 states/eV/cell
Total magnetic moment   1.0032 μB per atom
E_form   1.098 eV/atom

```
BaCdCo3
1.0
4.949 0.000 0.000
0.000 4.949 0.000
0.000 0.000 4.949
Ba Cd Co
1 1 3
direct
0.000 0.000 0.000
0.500 0.500 0.500
0.000 0.500 0.500
0.500 0.000 0.500
0.500 0.500 0.000
```

***

# AlTe3

AlTe3 after structural relaxation (GGA-PBE, the Alexandria database).

E   -2.889 eV per atom
Fermi-level density of states   9.82 states/eV/cell
Total magnetic moment   0.0000 μB per atom
Uncorrected formation energy   402 meV/atom

```
AlTe3
1.0
6.013 0.000 0.000
0.000 6.013 0.000
0.000 0.000 6.013
Al Te
2 6
direct
0.000 0.000 0.000
0.500 0.500 0.500
0.000 0.250 0.500
0.000 0.750 0.500
0.250 0.500 0.000
0.500 0.000 0.250
0.500 0.000 0.750
0.750 0.500 0.000
```

***

# RbOsSeN2

RbOsSeN2 after structural relaxation (GGA-PBE, the Alexandria database).

E   -3.153 eV per atom
Fermi-level density of states   3.27 states/eV/cell
Total magnetic moment   1.3659 μB per atom
Uncorrected formation energy   3314 meV/atom

```
RbOsSeN2
1.0
4.337 0.000 0.000
0.000 4.337 0.000
0.000 0.000 6.627
Rb Os Se N
1 1 1 2
direct
0.000 0.000 0.000
0.500 0.500 0.500
0.000 0.000 0.500
0.000 0.500 0.000
0.500 0.000 0.000
```

***

Q: Among the records above, which one has the lowest E?
A: Th6Al3Os

***

Copy entry 5 word for word.
# ScCd2Rh

ScCd2Rh after structural relaxation (GGA-PBE, the Alexandria database).

E   -4.303 eV per atom
Fermi-level density of states   1.56 states/eV/cell
Total magnetic moment   0.0000 μB per atom
E_form   -0.425 eV/atom

```
ScCd2Rh
1.0
3.276 0.000 0.000
0.000 3.300 0.000
-0.029 0.000 7.222
Sc Cd Rh
1 2 1
direct
0.000 0.000 0.000
0.001 0.000 0.432
0.498 0.500 0.708
0.501 0.500 0.187
```

***

Q: Which value of Fermi-level density of states does entry 1 give?
A: 0.30 states/eV/cell

***

Q: Which value of E does entry 4 give?
A: -5.276 eV per atom